{"formula": "BaAl2Os", "functional": "PBE", "state": "relaxed", "volume_a3_per_fu": 82, "m_tot_mub_per_fu": 0.00, "formation_enthalpy_0k_mev_per_atom": 530, "cell": [[-2.551, -4.043, 1.009], [-4.880, 0.168, 0.166], [-2.639, -2.160, -3.499]], "species": ["Os", "Ba", "Al", "Al"], "frac_coords": [[0.500, 0.500, 0.500], [0.000, 0.000, 0.000], [0.250, 0.250, 0.250], [0.750, 0.750, 0.750]]}